Density functional theory data (PBE) for a relaxed structure of LaNdGdPu.

Values from the calculation:
Total magnetic moment: 2.0 μB/cell
Energy relative to the elements: 0.234 eV per atom

Cell: 8.0978 8.0978 8.0978 Å, 90.00 90.00 90.00°
Space group F-43m (No. 216)
Inequivalent atoms, fractional coordinates:
La: 0.0000 0.0000 0.0000 x4
Nd: 0.0000 0.0000 0.5000 x4
Gd: 0.2500 0.2500 0.2500 x4
Pu: 0.2500 0.2500 0.7500 x4

***

Density functional theory data (PBE) for a relaxed structure of MnZn3Cl.

Values from the calculation:
Total magnetic moment: 4.5 μB/cell
Energy relative to the elements, uncorrected: 858.1 meV per atom

Cell: 4.9230 4.9230 4.9230 Å, 90.00 90.00 90.00°
Space group Pm-3m (No. 221)
Inequivalent atoms, fractional coordinates:
Mn: 0.0000 0.0000 0.0000 x1
Zn: 0.0000 0.5000 0.5000 x3
Cl: 0.5000 0.5000 0.5000 x1

***

Density functional theory data (PBE) for a relaxed structure of CdBrO2.

Values from the calculation:
Total magnetic moment: 0.0 μB/cell
Energy relative to the elements, uncorrected: -179.8 meV per atom

Cell: 6.7595 6.6795 6.4803 Å, 90.00 119.51 90.00°
Space group Cc (No. 9)
Inequivalent atoms, fractional coordinates:
Cd: 0.0000 0.1351 0.0000 x4
Br: 0.4704 0.1331 0.9631 x4
O: 0.2035 0.1333 0.4025 x4
O: 0.3466 0.3252 0.0680 x4

***

Density functional theory data (PBE) for a relaxed structure of Zr2TlNi.

Values from the calculation:
Total magnetic moment: 0.0 μB/cell
Energy relative to the elements: -0.065 eV per atom

Cell: 4.2934 4.2934 8.5208 Å, 90.00 90.00 90.00°
Space group I4/mmm (No. 139)
Inequivalent atoms, fractional coordinates:
Zr: 0.0000 0.5000 0.2500 x4
Tl: 0.0000 0.0000 0.0000 x2
Ni: 0.0000 0.0000 0.5000 x2

***

Density functional theory data (PBE) for a relaxed structure of CdHgNO2.

Values from the calculation:
Total magnetic moment: 2.0 μB/cell
Energy relative to the elements, uncorrected: 950.7 meV per atom

Cell: 4.2782 4.2782 4.2155 Å, 90.00 90.00 90.00°
Space group P4/mmm (No. 123)
Inequivalent atoms, fractional coordinates:
Cd: 0.0000 0.0000 0.0000 x1
Hg: 0.5000 0.5000 0.5000 x1
N: 0.0000 0.0000 0.5000 x1
O: 0.0000 0.5000 0.0000 x2

***

Density functional theory data (PBE) for a relaxed structure of MgZr2Se.

Values from the calculation:
Total magnetic moment: 0.0 μB/cell
Energy relative to the elements, uncorrected: -218.1 meV per atom

Cell: 4.1117 4.1117 9.7774 Å, 90.00 90.00 90.00°
Space group I-4m2 (No. 119)
Inequivalent atoms, fractional coordinates:
Mg: 0.0000 0.0000 0.0000 x2
Zr: 0.0000 0.0000 0.5000 x2
Zr: 0.0000 0.5000 0.2500 x2
Se: 0.0000 0.5000 0.7500 x2

***

Density functional theory data (PBE) for a relaxed structure of CrTeAu2.

Values from the calculation:
Total magnetic moment: 9.9 μB/cell
Energy relative to the elements, uncorrected: 311.5 meV per atom

Cell: 3.3715 3.3715 25.5750 Å, 90.00 90.00 120.00°
Space group R-3m (No. 166, hexagonal axes)
Inequivalent atoms, fractional coordinates:
Cr: 0.0000 0.0000 0.0000 x3
Te: 0.0000 0.0000 0.5000 x3
Au: 0.0000 0.0000 0.2622 x6

***

Density functional theory data (PBE) for a relaxed structure of ZrRh2Cl.

Values from the calculation:
Total magnetic moment: 0.0 μB/cell
Energy relative to the elements, uncorrected: -345.8 meV per atom

Cell: 3.4104 3.3537 7.4703 Å, 90.00 103.12 90.00°
Space group Pm (No. 6)
Inequivalent atoms, fractional coordinates:
Zr: 0.0000 0.0000 0.0000 x1
Rh: 0.1704 0.0000 0.3425 x1
Rh: 0.6082 0.5000 0.2174 x1
Cl: 0.3851 0.5000 0.7689 x1

***

Density functional theory data (PBE) for a relaxed structure of Cu2Pb3Cl8.

Values from the calculation:
Total magnetic moment: 0.5 μB/cell
Energy relative to the elements, uncorrected: -907.8 meV per atom

Cell: 13.7007 8.4389 7.2768 Å, 90.00 110.50 90.00°
Space group C2/m (No. 12)
Inequivalent atoms, fractional coordinates:
Cu: 0.1070 0.0000 0.0750 x4
Pb: 0.0000 0.2378 0.5000 x4
Pb: 0.0000 0.5000 0.0000 x2
Cl: 0.1192 0.5000 0.7371 x4
Cl: 0.1207 0.2339 0.2360 x8
Cl: 0.1256 0.0000 0.7764 x4

***

Density functional theory data (PBE) for a relaxed structure of RbNbPbC2.

Values from the calculation:
Total magnetic moment: 0.7 μB/cell
Energy relative to the elements: 1.940 eV per atom

Cell: 4.4779 4.4779 5.8532 Å, 90.00 90.00 90.00°
Space group P4/mmm (No. 123)
Inequivalent atoms, fractional coordinates:
Rb: 0.0000 0.0000 0.0000 x1
Nb: 0.0000 0.0000 0.5000 x1
Pb: 0.5000 0.5000 0.0000 x1
C: 0.0000 0.5000 0.5000 x2

***

Density functional theory data (PBE) for a relaxed structure of AcTb6Tm2.

Values from the calculation:
Total magnetic moment: 0.0 μB/cell
Energy relative to the elements: 0.076 eV per atom

Cell: 3.6152 3.6152 26.4648 Å, 90.00 90.00 120.00°
Space group P-6m2 (No. 187)
Inequivalent atoms, fractional coordinates:
Ac: 0.0000 0.0000 0.0000 x1
Tb: 0.0000 0.0000 0.2253 x2
Tb: 0.0000 0.0000 0.4347 x2
Tb: 0.3333 0.6667 0.1185 x2
Tm: 0.3333 0.6667 0.3316 x2

***

Density functional theory data (PBE) for a relaxed structure of Ta2TcAu.

Values from the calculation:
Total magnetic moment: 0.0 μB/cell
Energy relative to the elements: 0.000 eV per atom

Cell: 3.5164 4.4063 8.8572 Å, 90.00 90.00 90.00°
Space group Imm2 (No. 44)
Inequivalent atoms, fractional coordinates:
Ta: 0.0000 0.0000 0.0000 x2
Ta: 0.0000 0.5000 0.2506 x2
Tc: 0.0000 0.5000 0.7268 x2
Au: 0.0000 0.0000 0.4901 x2

***

Q: What is the total magnetic moment in the fourth record?
A: 0.0 μB/cell